Record 1
KBaHg4 | Alexandria via LeMat-Bulk | SCAN | single point on PBEsol structure; density of states at the Fermi level = 3.68 states/eV/f.u.; E_form = -0.395 eV per atom; E = -322.9 eV per cell
1.0
6.209 0.000 0.000
3.105 5.377 0.000
3.105 1.792 5.070
Hg K Ba
4 1 1
Direct
0.376 0.376 0.376
0.376 0.376 0.873
0.376 0.873 0.376
0.873 0.376 0.376
0.750 0.750 0.750
0.000 0.000 0.000

Record 2
KBaHg2 | Alexandria via LeMat-Bulk | SCAN | single point on PBEsol structure; density of states at the Fermi level = 3.83 states/eV/f.u.; E_form = -0.454 eV per atom; E = -186.0 eV per cell
1.0
3.979 0.000 0.000
0.000 5.811 0.025
0.000 -0.030 5.811
Hg Ba K
2 1 1
Direct
0.000 0.500 0.000
0.000 0.000 0.500
0.500 0.500 0.500
0.500 0.000 0.000

Record 3
KBa3Hg | Alexandria via LeMat-Bulk | SCAN | single point on PBEsol structure; density of states at the Fermi level = 4.86 states/eV/f.u.; E_form = -0.224 eV per atom; E = -196.3 eV per cell
1.0
6.645 0.000 0.000
0.000 6.645 0.000
0.000 0.000 6.645
Ba Hg K
3 1 1
Direct
0.000 0.000 0.500
0.500 0.000 0.000
0.000 0.500 0.000
0.000 0.000 0.000
0.500 0.500 0.500

Record 4
KBaHg2 | Alexandria via LeMat-Bulk | SCAN | single point on PBEsol structure; density of states at the Fermi level = 2.71 states/eV/f.u.; E_form = -0.339 eV per atom; E = -185.6 eV per cell
1.0
-0.385 -0.345 -4.115
-4.005 -0.977 0.456
-2.109 8.406 -0.509
Ba K Hg
1 1 2
Direct
0.500 0.500 0.832
0.000 0.000 0.423
0.500 0.500 0.213
0.000 0.000 0.032

Record 5
K2BaHg | Alexandria via LeMat-Bulk | SCAN | single point on PBEsol structure; density of states at the Fermi level = 1.60 states/eV/f.u.; E_form = -0.251 eV per atom; E = -125.4 eV per cell
1.0
4.244 0.000 0.000
0.000 4.244 0.000
0.000 0.000 10.849
Ba K Hg
1 2 1
Direct
0.000 0.000 0.577
0.500 0.500 0.261
0.000 0.000 0.932
0.500 0.500 0.730

Record 6
KBaHg2 | Alexandria via LeMat-Bulk | SCAN | single point on PBEsol structure; density of states at the Fermi level = 2.68 states/eV/f.u.; E_form = -0.414 eV per atom; E = -185.9 eV per cell
1.0
4.044 0.000 0.000
0.000 5.715 -0.106
-2.022 -2.006 5.808
K Hg Ba
1 2 1
Direct
0.478 0.452 0.955
0.030 0.998 0.059
0.715 0.249 0.429
0.278 0.800 0.556